# 1
5
Lattice="5.070 0.000 0.000 0.000 5.070 0.000 0.000 0.000 5.070" Properties=species:S:1:pos:R:3 comment="CsAsAu3, relaxed, DFT PBEsol" dft_energy_ha_per_atom=-0.132 crystal_system=cubic e_form_mev_per_atom=-17.4 magnetic_moment_mub_per_fu=0.00 pbc="T T T"
Cs 0.000 0.000 0.000
As 2.535 2.535 2.535
Au 0.000 2.535 2.535
Au 2.535 0.000 2.535
Au 2.535 2.535 0.000

---

# 2
10
Lattice="0.000 5.743 5.743 5.743 0.000 5.743 5.743 5.743 0.000" Properties=species:S:1:pos:R:3 comment="Cs2AsAuI6, relaxed, DFT PBEsol" e_form_raw_kj_per_mol_atoms=-68 dft_energy_ha_per_atom=-0.105 crystal_system=cubic magnetic_moment_mub_per_fu=0.00 pbc="T T T"
Cs 2.872 2.872 2.872
Cs 8.615 8.615 8.615
As 0.000 0.000 0.000
Au 5.743 5.743 5.743
I 5.743 5.743 2.864
I 5.743 2.864 5.743
I 8.622 5.743 5.743
I 2.864 5.743 5.743
I 5.743 8.622 5.743
I 5.743 5.743 8.622

---

# 3
5
Lattice="5.053 0.000 0.000 0.000 5.053 0.000 0.000 0.000 5.961" Properties=species:S:1:pos:R:3 comment="CsTaAsAu2, relaxed, DFT PBEsol" dft_energy_ha_per_atom=-0.144 crystal_system=tetragonal e_form_mev_per_atom=1369.5 magnetic_moment_mub_per_fu=0.71 pbc="T T T"
Cs 0.000 0.000 0.000
Ta 0.000 0.000 2.981
As 2.526 2.526 0.000
Au 0.000 2.526 2.981
Au 2.526 0.000 2.981

---

# 4
4
Lattice="1.905 -2.019 0.000 1.905 2.019 0.000 0.000 0.000 8.598" Properties=species:S:1:pos:R:3 comment="CuAs2Au, relaxed, DFT PBEsol" dft_energy_ha_per_atom=-0.161 crystal_system=orthorhombic e_form_mev_per_atom=233.0 magnetic_moment_mub_per_fu=0.00 pbc="T T T"
Cu 0.000 0.000 0.000
As 1.905 0.000 1.875
As 1.905 0.000 6.723
Au 0.000 0.000 4.299